First-principles (PBE) data for a relaxed structure of AcAgTeSe, as listed in Alexandria.

Cell lengths 5.407, 5.407, 5.407 Å; angles 60.00, 60.00, 60.00 degrees
Fractional coordinates of all 4 atoms:
Ag  0.750  0.750  0.750
Se  0.500  0.500  0.500
Te  0.000  0.000  0.000
Ac  0.250  0.250  0.250

Output
formation energy without anion corrections = -965 meV/atom
polymorph energy (0 for the lowest one) = 0.226 eV/atom